Here is a geometry-optimized IrCl2F2 structure from Alexandria. Energies are from PBE.

abc: 7.9153 6.2367 6.2367
angles: 119.10 107.48 107.48
Element x y z (fractional)
Ir  0.0000  0.1350  0.8650
Ir  0.0000  0.8650  0.1350
Cl  0.7869  0.2813  0.7435
Cl  0.2131  0.7187  0.2565
Cl  0.7869  0.7435  0.2813
Cl  0.2131  0.2565  0.7187
F  0.2008  0.3343  0.3343
F  0.1682  0.9469  0.9469
F  0.8318  0.0531  0.0531
F  0.7992  0.6657  0.6657

Computed properties:
Its total magnetic moment is 0.00 μB per formula unit. As for the density of states at the Fermi level: 0.397 states/eV per atom. The space group is C2/m, No. 12. For the volume, the calculation gives 21.67 Å³ per atom. As for the uncorrected formation energy: -2.63 eV per formula unit.